Record 1
Compound: La2MgAu
Source: Alexandria
Functional: GGA-PBEsol
Structure: optimized geometry

Computed properties:
- formation energy from the elements (eV per atom) = -0.39

Cell: 3.7761 5.1865 10.9581 Å, 90.00 90.00 90.00°
Space group Imm2 (No. 44)
Asymmetric unit:
La: 0.0000 0.0000 0.0000 [2 per cell]
La: 0.0000 0.5000 0.2044 [2 per cell]
Mg: 0.0000 0.0000 0.4174 [2 per cell]
Au: 0.0000 0.5000 0.7360 [2 per cell]

Record 2
Compound: ZnNi2
Source: Alexandria
Functional: GGA-PBEsol
Structure: optimized geometry

Computed properties:
- formation energy from the elements (eV per atom) = -0.11

Cell: 6.8250 6.8250 2.4821 Å, 90.00 90.00 120.00°
Space group P-62m (No. 189)
Asymmetric unit:
Zn: 0.0000 0.0000 0.0000 [1 per cell]
Zn: 0.3333 0.6667 0.5000 [2 per cell]
Ni: 0.0000 0.3607 0.0000 [3 per cell]
Ni: 0.0000 0.6946 0.5000 [3 per cell]

Record 3
Compound: Ca2TlZn
Source: Alexandria
Functional: GGA-PBEsol
Structure: optimized geometry

Computed properties:
- formation energy from the elements (eV per atom) = -0.36

Cell: 7.4291 7.4291 7.4291 Å, 90.00 90.00 90.00°
Space group Fm-3m (No. 225)
Asymmetric unit:
Ca: 0.2500 0.2500 0.2500 [8 per cell]
Tl: 0.0000 0.0000 0.0000 [4 per cell]
Zn: 0.0000 0.0000 0.5000 [4 per cell]

Record 4
Compound: TlFe2Os
Source: Alexandria
Functional: GGA-PBEsol
Structure: optimized geometry

Computed properties:
- formation energy from the elements (eV per atom) = 0.71
- ΔE to the lowest computed polymorph (eV/atom) = 0.136

Cell: 3.1162 4.4290 8.5849 Å, 90.00 90.00 90.00°
Space group Immm (No. 71)
Asymmetric unit:
Tl: 0.0000 0.0000 0.0000 [2 per cell]
Fe: 0.0000 0.5000 0.2368 [4 per cell]
Os: 0.0000 0.0000 0.5000 [2 per cell]

Record 5
Compound: BaP3F
Source: Alexandria
Functional: GGA-PBEsol
Structure: optimized geometry

Computed properties:
- E_form (uncorrected) (eV per atom) = -0.0545

Cell: 4.6171 4.6171 4.6171 Å, 90.00 90.00 90.00°
Space group Pm-3m (No. 221)
Asymmetric unit:
Ba: 0.0000 0.0000 0.0000 [1 per cell]
P: 0.0000 0.5000 0.5000 [3 per cell]
F: 0.5000 0.5000 0.5000 [1 per cell]

Record 6
Compound: Ba2MgZr
Source: Alexandria
Functional: GGA-PBEsol
Structure: optimized geometry

Computed properties:
- formation energy from the elements (eV per atom) = 0.39

Cell: 3.7623 6.0091 12.3486 Å, 90.00 90.00 90.00°
Space group Imm2 (No. 44)
Asymmetric unit:
Ba: 0.0000 0.0000 0.0000 [2 per cell]
Ba: 0.0000 0.5000 0.2122 [2 per cell]
Mg: 0.0000 0.5000 0.7582 [2 per cell]
Zr: 0.0000 0.0000 0.4487 [2 per cell]

Record 7
Compound: Cu3TeCl
Source: Alexandria
Functional: GGA-PBEsol
Structure: optimized geometry

Computed properties:
- E_form (uncorrected) (eV per atom) = 0.3800

Cell: 4.8138 4.8138 4.8138 Å, 90.00 90.00 90.00°
Space group Pm-3m (No. 221)
Asymmetric unit:
Cu: 0.0000 0.0000 0.5000 [3 per cell]
Te: 0.0000 0.0000 0.0000 [1 per cell]
Cl: 0.5000 0.5000 0.5000 [1 per cell]

Record 8
Compound: Ta2AgAu
Source: Alexandria
Functional: GGA-PBEsol
Structure: optimized geometry

Computed properties:
- formation energy from the elements (eV per atom) = 0.04
- ΔE to the lowest computed polymorph (eV/atom) = 0.000

Cell: 3.0403 3.7458 6.0016 Å, 90.00 90.00 90.00°
Space group Pmm2 (No. 25)
Asymmetric unit:
Ta: 0.0000 0.0000 0.0000 [1 per cell]
Ta: 0.5000 0.5000 0.2561 [1 per cell]
Ag: 0.0000 0.0000 0.5089 [1 per cell]
Au: 0.5000 0.5000 0.7504 [1 per cell]

Record 9
Compound: Li3BiPt
Source: Alexandria
Functional: GGA-PBEsol
Structure: optimized geometry

Computed properties:
- formation energy from the elements (eV per atom) = -0.07

Cell: 4.6242 4.6242 4.6242 Å, 90.00 90.00 90.00°
Space group Pm-3m (No. 221)
Asymmetric unit:
Li: 0.0000 0.0000 0.5000 [3 per cell]
Bi: 0.5000 0.5000 0.5000 [1 per cell]
Pt: 0.0000 0.0000 0.0000 [1 per cell]

Record 10
Compound: PtRh2W
Source: Alexandria
Functional: GGA-PBEsol
Structure: optimized geometry

Computed properties:
- formation energy from the elements (eV per atom) = -0.22
- ΔE to the lowest computed polymorph (eV/atom) = 0.041

Cell: 2.7207 3.8220 5.5026 Å, 90.00 90.00 90.00°
Space group Pmmm (No. 47)
Asymmetric unit:
Pt: 0.0000 0.0000 0.0000 [1 per cell]
Rh: 0.5000 0.5000 0.2555 [2 per cell]
W: 0.0000 0.0000 0.5000 [1 per cell]

Record 11
Compound: MnRuNO2
Source: Alexandria
Functional: GGA-PBEsol
Structure: optimized geometry

Computed properties:
- E_form (uncorrected) (eV per atom) = -0.0869

Cell: 3.8893 3.8893 3.6799 Å, 90.00 90.00 90.00°
Space group P4/mmm (No. 123)
Asymmetric unit:
Mn: 0.0000 0.0000 0.0000 [1 per cell]
Ru: 0.5000 0.5000 0.5000 [1 per cell]
N: 0.5000 0.5000 0.0000 [1 per cell]
O: 0.0000 0.5000 0.5000 [2 per cell]

Record 12
Compound: RbMgTc3
Source: Alexandria
Functional: GGA-PBEsol
Structure: optimized geometry

Computed properties:
- formation energy from the elements (eV per atom) = 2.49

Cell: 4.8240 4.8240 4.8240 Å, 90.00 90.00 90.00°
Space group Pm-3m (No. 221)
Asymmetric unit:
Rb: 0.0000 0.0000 0.0000 [1 per cell]
Mg: 0.5000 0.5000 0.5000 [1 per cell]
Tc: 0.0000 0.5000 0.5000 [3 per cell]

Record 13
Compound: TbMg16Al12
Source: Alexandria
Functional: GGA-PBEsol
Structure: optimized geometry

Computed properties:
- formation energy from the elements (eV per atom) = -0.06
- ΔE to the lowest computed polymorph (eV/atom) = 0.007

Cell: 14.9667 14.9667 8.9116 Å, 90.00 90.00 120.00°
Space group R3m (No. 160, hexagonal axes)
Asymmetric unit:
Tb: 0.0000 0.0000 0.0000 [3 per cell]
Mg: 0.0000 0.0000 0.6264 [3 per cell]
Mg: 0.0332 0.3603 0.9878 [18 per cell]
Mg: 0.1046 0.5523 0.1772 [9 per cell]
Mg: 0.1102 0.2204 0.1251 [9 per cell]
Mg: 0.1994 0.3989 0.7432 [9 per cell]
Al: 0.0016 0.1828 0.8121 [18 per cell]
Al: 0.1227 0.0613 0.3148 [9 per cell]
Al: 0.2126 0.4252 0.2258 [9 per cell]

Record 14
Compound: InPt2Au
Source: Alexandria
Functional: GGA-PBEsol
Structure: optimized geometry

Computed properties:
- formation energy from the elements (eV per atom) = 0.01

Cell: 2.9416 2.9416 26.8176 Å, 90.00 90.00 120.00°
Space group R3m (No. 160, hexagonal axes)
Asymmetric unit:
In: 0.0000 0.0000 0.0000 [3 per cell]
Pt: 0.0000 0.0000 0.4962 [3 per cell]
Pt: 0.0000 0.0000 0.7478 [3 per cell]
Au: 0.0000 0.0000 0.2466 [3 per cell]

Record 15
Compound: Sr2La2MgMnO8
Source: Alexandria
Functional: GGA-PBEsol
Structure: optimized geometry

Computed properties:
- E_form (uncorrected) (eV per atom) = -2.8881
- ΔE to the lowest computed polymorph (eV/atom) = 0.000

Cell: 5.4074 5.4139 12.4382 Å, 90.00 90.00 90.00°
Space group Pmm2 (No. 25)
Asymmetric unit:
Sr: 0.0000 0.0000 0.0000 [1 per cell]
Sr: 0.0000 0.0000 0.2834 [1 per cell]
Sr: 0.0000 0.5000 0.7856 [1 per cell]
Sr: 0.5000 0.0000 0.4981 [1 per cell]
La: 0.0000 0.5000 0.5042 [1 per cell]
La: 0.5000 0.0000 0.7789 [1 per cell]
La: 0.5000 0.5000 0.0014 [1 per cell]
La: 0.5000 0.5000 0.2826 [1 per cell]
Mg: 0.5000 0.0000 0.1430 [1 per cell]
Mg: 0.5000 0.5000 0.6414 [1 per cell]
Mn: 0.0000 0.0000 0.6414 [1 per cell]
Mn: 0.0000 0.5000 0.1392 [1 per cell]
O: 0.0000 0.0000 0.4844 [1 per cell]
O: 0.0000 0.0000 0.7996 [1 per cell]
O: 0.0000 0.5000 0.3085 [1 per cell]
O: 0.0000 0.5000 0.9845 [1 per cell]
O: 0.2408 0.2444 0.6415 [4 per cell]
O: 0.2458 0.2636 0.1405 [4 per cell]
O: 0.5000 0.0000 0.3081 [1 per cell]
O: 0.5000 0.0000 0.9646 [1 per cell]
O: 0.5000 0.5000 0.4678 [1 per cell]
O: 0.5000 0.5000 0.8162 [1 per cell]

Record 16
Compound: Ge3Pt2
Source: Alexandria
Functional: GGA-PBEsol
Structure: optimized geometry

Computed properties:
- formation energy from the elements (eV per atom) = -0.44

Cell: 16.3958 3.3907 6.2112 Å, 90.00 90.00 90.00°
Space group Pnma (No. 62)
Asymmetric unit:
Ge: 0.0707 0.2500 0.0582 [4 per cell]
Ge: 0.1131 0.7500 0.5886 [4 per cell]
Ge: 0.2316 0.7500 0.8443 [4 per cell]
Pt: 0.0062 0.2500 0.6937 [4 per cell]
Pt: 0.1699 0.7500 0.2086 [4 per cell]

Record 17
Compound: SnHgIO2
Source: Alexandria
Functional: GGA-PBEsol
Structure: optimized geometry

Computed properties:
- E_form (uncorrected) (eV per atom) = -0.4577

Cell: 4.0681 4.0681 6.2504 Å, 90.00 90.00 90.00°
Space group P4/mmm (No. 123)
Asymmetric unit:
Sn: 0.0000 0.0000 0.0000 [1 per cell]
Hg: 0.5000 0.5000 0.5000 [1 per cell]
I: 0.0000 0.0000 0.5000 [1 per cell]
O: 0.0000 0.5000 0.0000 [2 per cell]

Record 18
Compound: CsLi3Bi
Source: Alexandria
Functional: GGA-PBEsol
Structure: optimized geometry

Computed properties:
- formation energy from the elements (eV per atom) = -0.26

Cell: 5.5094 5.5094 5.5094 Å, 90.00 90.00 90.00°
Space group Pm-3m (No. 221)
Asymmetric unit:
Cs: 0.0000 0.0000 0.0000 [1 per cell]
Li: 0.0000 0.5000 0.5000 [3 per cell]
Bi: 0.5000 0.5000 0.5000 [1 per cell]

Record 19
Compound: OsI2N2
Source: Alexandria
Functional: GGA-PBEsol
Structure: optimized geometry

Computed properties:
- E_form (uncorrected) (eV per atom) = 1.0670

Cell: 3.9939 3.9939 5.7817 Å, 90.00 90.00 90.00°
Space group P4/mmm (No. 123)
Asymmetric unit:
Os: 0.0000 0.0000 0.0000 [1 per cell]
I: 0.0000 0.0000 0.5000 [1 per cell]
I: 0.5000 0.5000 0.5000 [1 per cell]
N: 0.0000 0.5000 0.0000 [2 per cell]

Record 20
Compound: CaHf3Sn
Source: Alexandria
Functional: GGA-PBEsol
Structure: optimized geometry

Computed properties:
- formation energy from the elements (eV per atom) = 1.61

Cell: 4.9288 4.9288 4.9288 Å, 90.00 90.00 90.00°
Space group Pm-3m (No. 221)
Asymmetric unit:
Ca: 0.0000 0.0000 0.0000 [1 per cell]
Hf: 0.0000 0.0000 0.5000 [3 per cell]
Sn: 0.5000 0.5000 0.5000 [1 per cell]

Record 21
Compound: TlHgCl3
Source: Alexandria
Functional: GGA-PBEsol
Structure: optimized geometry

Computed properties:
- E_form (uncorrected) (eV per atom) = -0.6640

Cell: 5.1945 5.1945 5.1945 Å, 90.00 90.00 90.00°
Space group Pm-3m (No. 221)
Asymmetric unit:
Tl: 0.0000 0.0000 0.0000 [1 per cell]
Hg: 0.5000 0.5000 0.5000 [1 per cell]
Cl: 0.0000 0.5000 0.5000 [3 per cell]

Record 22
Compound: YTlTe2
Source: Alexandria
Functional: GGA-PBEsol
Structure: optimized geometry

Computed properties:
- E_form (uncorrected) (eV per atom) = -0.7147

Cell: 4.5089 4.5089 10.8115 Å, 90.00 90.00 90.00°
Space group I-4m2 (No. 119)
Asymmetric unit:
Y: 0.0000 0.0000 0.0000 [2 per cell]
Tl: 0.0000 0.5000 0.7500 [2 per cell]
Te: 0.0000 0.0000 0.5000 [2 per cell]
Te: 0.0000 0.5000 0.2500 [2 per cell]

Record 23
Compound: Tb5Ge3C
Source: Alexandria
Functional: GGA-PBEsol
Structure: optimized geometry

Computed properties:
- formation energy from the elements (eV per atom) = -0.75

Cell: 8.4595 8.4595 6.3783 Å, 90.00 90.00 120.00°
Space group P6_3/mcm (No. 193)
Asymmetric unit:
Tb: 0.0000 0.2224 0.2500 [6 per cell]
Tb: 0.3333 0.6667 0.0000 [4 per cell]
Ge: 0.0000 0.4085 0.7500 [6 per cell]
C: 0.0000 0.0000 0.0000 [2 per cell]

Record 24
Compound: ScTa2Pb
Source: Alexandria
Functional: GGA-PBEsol
Structure: optimized geometry

Computed properties:
- formation energy from the elements (eV per atom) = 0.18

Cell: 6.7619 6.7619 6.7619 Å, 90.00 90.00 90.00°
Space group F-43m (No. 216)
Asymmetric unit:
Sc: 0.0000 0.0000 0.0000 [4 per cell]
Ta: 0.0000 0.0000 0.5000 [4 per cell]
Ta: 0.2500 0.2500 0.2500 [4 per cell]
Pb: 0.2500 0.2500 0.7500 [4 per cell]

Record 25
Compound: InRhSe2
Source: Alexandria
Functional: GGA-PBEsol
Structure: optimized geometry

Computed properties:
- E_form (uncorrected) (eV per atom) = -0.3423

Cell: 4.8133 3.6853 5.2614 Å, 90.00 116.25 90.00°
Space group P2/m (No. 10)
Asymmetric unit:
In: 0.0000 0.0000 0.0000 [1 per cell]
Rh: 0.5000 0.0000 0.5000 [1 per cell]
Se: 0.2885 0.5000 0.6671 [2 per cell]